Entry 1:
Crystalline LaCoF3 at its relaxed geometry. Source: the Alexandria database, functional PBEsol.

abc: 4.653 4.653 4.653
angles: 90.00 90.00 90.00
Sites, in units of the cell vectors:
La 0.000 0.000 0.000
Co 0.500 0.500 0.500
F 0.000 0.000 0.500
F 0.000 0.500 0.000
F 0.500 0.000 0.000

## Properties
formation energy without anion corrections = -2139.2 meV/atom
SG = Pm-3m, No. 221
total moment = 0.6009 μB/atom

***

Entry 2:
Crystalline SrRh2Pb at its relaxed geometry. Source: the Alexandria database, functional PBEsol.

abc: 6.029 6.029 6.029
angles: 149.70 133.51 56.51
Sites, in units of the cell vectors:
Sr 0.000 0.000 0.000
Rh 0.505 0.505 0.000
Rh 0.719 0.219 0.500
Pb 0.284 0.784 0.500

## Properties
SG = Imm2, No. 44
total moment = 0.0004 μB/atom
energy relative to the elements = 15.7 meV/atom

***

Entry 3:
Crystalline FePtF3 at its relaxed geometry. Source: the Alexandria database, functional PBEsol.

abc: 3.980 3.980 3.980
angles: 90.00 90.00 90.00
Sites, in units of the cell vectors:
Fe 0.000 0.000 0.000
Pt 0.500 0.500 0.500
F 0.000 0.000 0.500
F 0.000 0.500 0.000
F 0.500 0.000 0.000

## Properties
formation energy without anion corrections = -692.2 meV/atom
SG = Pm-3m, No. 221
total moment = 1.0376 μB/atom
energy above the lowest structure with this stoichiometry = 0 meV/atom

***

Entry 4:
Crystalline CoAs2AuSe at its relaxed geometry. Source: the Alexandria database, functional PBEsol.

abc: 4.359 4.359 4.957
angles: 90.00 90.00 90.00
Sites, in units of the cell vectors:
Co 0.000 0.000 0.000
As 0.000 0.500 0.000
As 0.500 0.000 0.000
Au 0.500 0.500 0.500
Se 0.000 0.000 0.500

## Properties
formation energy without anion corrections = 439.8 meV/atom
SG = P4/mmm, No. 123
total moment = 0.0000 μB/atom

***

Entry 5:
Crystalline LaY2Co at its relaxed geometry. Source: the Alexandria database, functional PBEsol.

abc: 3.372 3.372 8.910
angles: 90.00 90.00 90.00
Sites, in units of the cell vectors:
La 0.000 0.000 0.000
Y 0.500 0.500 0.323
Y 0.500 0.500 0.677
Co 0.000 0.000 0.500

## Properties
SG = P4/mmm, No. 123
total moment = 0.0956 μB/atom
energy above the lowest structure with this stoichiometry = 0 meV/atom
energy relative to the elements = -42.2 meV/atom

***

Entry 6:
Crystalline NaAl2TcMo at its relaxed geometry. Source: the Alexandria database, functional PBEsol.

abc: 4.834 4.834 4.681
angles: 90.00 90.00 90.00
Sites, in units of the cell vectors:
Na 0.000 0.000 0.000
Al 0.000 0.500 0.500
Al 0.500 0.000 0.500
Tc 0.500 0.500 0.500
Mo 0.500 0.500 0.000

## Properties
SG = P4/mmm, No. 123
total moment = 0.4062 μB/atom
energy above the lowest structure with this stoichiometry = 0 meV/atom
energy relative to the elements = 674.4 meV/atom

***

Entry 7:
Crystalline MgIn2Ag at its relaxed geometry. Source: the Alexandria database, functional PBEsol.

abc: 5.364 5.364 5.364
angles: 131.90 131.90 70.38
Sites, in units of the cell vectors:
Mg 0.000 0.000 0.000
In 0.250 0.750 0.500
In 0.750 0.250 0.500
Ag 0.500 0.500 0.000

## Properties
SG = I4/mmm, No. 139
total moment = 0.0000 μB/atom
energy relative to the elements = -69.4 meV/atom

***

Entry 8:
Crystalline Ta11Rh4 at its relaxed geometry. Source: the Alexandria database, functional PBEsol.

abc: 9.849 9.849 5.189
angles: 90.00 90.00 90.00
Sites, in units of the cell vectors:
Ta 0.000 0.000 0.000
Ta 0.066 0.275 0.000
Ta 0.106 0.106 0.500
Ta 0.180 0.820 0.252
Ta 0.180 0.820 0.748
Ta 0.225 0.566 0.500
Ta 0.275 0.066 0.000
Ta 0.320 0.320 0.248
Ta 0.320 0.320 0.752
Ta 0.394 0.606 0.000
Ta 0.434 0.775 0.500
Ta 0.500 0.500 0.500
Ta 0.566 0.225 0.500
Ta 0.606 0.394 0.000
Ta 0.680 0.680 0.248
Ta 0.680 0.680 0.752
Ta 0.725 0.934 0.000
Ta 0.775 0.434 0.500
Ta 0.820 0.180 0.252
Ta 0.820 0.180 0.748
Ta 0.894 0.894 0.500
Ta 0.934 0.725 0.000
Rh 0.038 0.361 0.500
Rh 0.139 0.538 0.000
Rh 0.361 0.038 0.500
Rh 0.462 0.861 0.000
Rh 0.538 0.139 0.000
Rh 0.639 0.962 0.500
Rh 0.861 0.462 0.000
Rh 0.962 0.639 0.500

## Properties
SG = P4_2/mnm, No. 136
total moment = 0.0000 μB/atom
energy relative to the elements = -242.6 meV/atom

***

Number 8 is which compound? Ta11Rh4

***

Copy entry 7 word for word.
Crystalline MgIn2Ag at its relaxed geometry. Source: the Alexandria database, functional PBEsol.

abc: 5.364 5.364 5.364
angles: 131.90 131.90 70.38
Sites, in units of the cell vectors:
Mg 0.000 0.000 0.000
In 0.250 0.750 0.500
In 0.750 0.250 0.500
Ag 0.500 0.500 0.000

## Properties
SG = I4/mmm, No. 139
total moment = 0.0000 μB/atom
energy relative to the elements = -69.4 meV/atom